Compound: CaMn2WO6
Source: the Alexandria database
Functional: PBE with a Hubbard U
Structure: optimized geometry

a = 5.300 Å, b = 5.350 Å, c = 5.796 Å
α = 62.72°, β = 63.94°, γ = 60.73°
Space group P1 (No. 1)
Unique sites:
Ca 0.000 0.000 0.000
Mn 0.205 0.197 0.387
Mn 0.723 0.728 0.822
W 0.517 0.526 0.439
O 0.136 0.801 0.634
O 0.340 0.553 0.185
O 0.411 0.137 0.636
O 0.553 0.923 0.178
O 0.791 0.427 0.635
O 0.925 0.332 0.185

Calculated density in g/cm3: 5.830
Raw total energy in eV/atom: -7.3431